[1]
Material: Ti5MnCo2Rh2
Method: DFT, PBE-GGA
State: optimized geometry

a b c (Å): 9.7759 9.7759 3.0034
angles (deg): 90.00 90.00 90.00
With the nearest neighbours (Å) after each atom.
Space group P4/mbm (No. 127)
Unique sites:
Ti1 0.0000 0.5000 0.0000  4 Co 2.34
Ti2 0.0782 0.1906 0.0000  2 Co 2.36, 2 Mn 2.51
Mn1 0.0000 0.0000 0.5000  8 Ti 2.51
Co1 0.1302 0.3698 0.5000  6 Ti 2.34-2.36
Rh1 0.1679 0.6679 0.5000  6 Ti 2.76-2.91, 3 Co 2.79-2.94, 2 Rh 3.00

Results
calculated total energy = -80.354 eV/f.u.
volume = 14.4 A^3/atom
total moment = 0.00 Bohr magnetons per cell

[2]
Material: TiRuN3
Method: DFT, PBE-GGA
State: optimized geometry

a b c (Å): 3.8542 3.8542 3.8542
angles (deg): 90.00 90.00 90.00
With the nearest neighbours (Å) after each atom.
Space group Pm-3m (No. 221)
Unique sites:
Ti1 0.0000 0.0000 0.0000  6 N 1.93
Ru1 0.5000 0.5000 0.5000  12 N 2.73
N1 0.0000 0.0000 0.5000  2 Ti 1.93

Results
volume = 11.5 A^3/atom
formation energy from raw total energies = 1.026 eV/atom
total moment = 1.02 Bohr magnetons per cell

[3]
Material: La4Hg2IrRu
Method: DFT, PBE-GGA
State: optimized geometry

a b c (Å): 7.2421 4.1706 8.3329
angles (deg): 90.00 106.60 90.00
With the nearest neighbours (Å) after each atom.
Space group P2/m (No. 10)
Unique sites:
La1 0.2275 0.0000 0.1954  2 Ru 2.86, 1 Ir 2.90
La2 0.2651 0.5000 0.8055  1 Ru 2.84, 2 Ir 2.88
Hg1 0.0000 0.0000 0.5000  6 La 3.40-3.42
Hg2 0.5000 0.5000 0.5000  6 La 3.44
Ir1 0.5000 0.0000 0.0000  6 La 2.88-2.90
Ru1 0.0000 0.5000 0.0000  6 La 2.84-2.86

Results
calculated total energy = -42.443 eV/f.u.
volume = 30.2 A^3/atom
total moment = 0.00 Bohr magnetons per cell

[4]
Material: MnFe
Method: DFT, PBE-GGA
State: optimized geometry

a b c (Å): 5.6327 5.6327 5.6327
angles (deg): 90.00 90.00 90.00
With the nearest neighbours (Å) after each atom.
Space group Fd-3m (No. 227, origin choice 2)
Unique sites:
Mn1 0.1250 0.1250 0.1250  4 Mn 2.44, 4 Fe 2.44
Fe1 0.1250 0.1250 0.6250  4 Mn 2.44, 4 Fe 2.44

Results
calculated total energy = -17.387 eV/f.u.
volume = 11.2 A^3/atom
total moment = 25.00 Bohr magnetons per cell

Here are the calculated DOS at the Fermi energy numbers, same order: 0.97, 0.44, 0.64, 1.69 (states/eV per atom).